1.
# Pm3Pr, optimized geometry, DFT PBE-GGA
data_Pm3Pr
_chemical_formula_sum 'Pm3 Pr1'
_symmetry_space_group_name_H-M 'P m -3 m'
_symmetry_Int_Tables_number 221
_symmetry_space_group_name_Hall '-P 4 2 3'
_cell_length_a 5.181
_cell_length_b 5.181
_cell_length_c 5.181
_cell_angle_alpha 90.00
_cell_angle_beta 90.00
_cell_angle_gamma 90.00
loop_
_atom_site_label
_atom_site_fract_x
_atom_site_fract_y
_atom_site_fract_z
Pm1 0.000 0.000 0.500
Pr1 0.500 0.500 0.500
# - excess energy over the best structure of this formula in the dataset (eV per atom) = 0.0015
# - crystal system = cubic
# - total moment (μB/cell) = 0.0
# - E_form (meV per atom) = 14
# - theoretical density (g/cm³) = 6.88

2.
# SrTcCl2, optimized geometry, DFT PBE-GGA
data_SrTcCl2
_chemical_formula_sum 'Sr1 Tc1 Cl2'
_symmetry_space_group_name_H-M 'P 4 m m'
_symmetry_Int_Tables_number 99
_symmetry_space_group_name_Hall 'P 4 -2'
_cell_length_a 3.592
_cell_length_b 3.592
_cell_length_c 7.663
_cell_angle_alpha 90.00
_cell_angle_beta 90.00
_cell_angle_gamma 90.00
loop_
_atom_site_label
_atom_site_fract_x
_atom_site_fract_y
_atom_site_fract_z
Sr1 0.000 0.000 0.000
Tc1 0.500 0.500 0.327
Cl1 0.000 0.000 0.396
Cl2 0.500 0.500 0.796
# - excess energy over the best structure of this formula in the dataset (eV per atom) = 0.1068
# - crystal system = tetragonal
# - total moment (μB/cell) = 2.3
# - theoretical density (g/cm³) = 4.31
# - uncorrected formation energy (eV per atom) = -0.43

3.
# Rb2LiPuCl4O2, optimized geometry, DFT PBE-GGA
data_Rb2LiPuCl4O2
_chemical_formula_sum 'Rb4 Li2 Pu2 Cl8 O4'
_symmetry_space_group_name_H-M 'C 1 2/m 1'
_symmetry_Int_Tables_number 12
_symmetry_space_group_name_Hall '-C 2y'
_cell_length_a 12.180
_cell_length_b 7.419
_cell_length_c 6.028
_cell_angle_alpha 90.00
_cell_angle_beta 92.80
_cell_angle_gamma 90.00
loop_
_atom_site_label
_atom_site_fract_x
_atom_site_fract_y
_atom_site_fract_z
Rb1 0.155 0.000 0.275
Li1 0.000 0.500 0.500
Pu1 0.000 0.500 0.000
Cl1 0.110 0.252 0.755
O1 0.100 0.500 0.237
# - excess energy over the best structure of this formula in the dataset (eV per atom) = 0.0091
# - crystal system = monoclinic
# - total moment (μB/cell) = 6.0
# - theoretical density (g/cm³) = 3.64
# - uncorrected formation energy (eV per atom) = -2.11

4.
# AlZn, optimized geometry, DFT PBE-GGA
data_AlZn
_chemical_formula_sum 'Al4 Zn4'
_symmetry_space_group_name_H-M 'F m -3 m'
_symmetry_Int_Tables_number 225
_symmetry_space_group_name_Hall '-F 4 2 3'
_cell_length_a 5.306
_cell_length_b 5.306
_cell_length_c 5.306
_cell_angle_alpha 90.00
_cell_angle_beta 90.00
_cell_angle_gamma 90.00
loop_
_atom_site_label
_atom_site_fract_x
_atom_site_fract_y
_atom_site_fract_z
Al1 0.000 0.000 0.000
Zn1 0.000 0.000 0.500
# - crystal system = cubic
# - total moment (μB/cell) = 0.0
# - E_form (meV per atom) = 279
# - theoretical density (g/cm³) = 4.11

5.
# CaAl11Cr, optimized geometry, DFT PBE-GGA
data_CaAl11Cr
_chemical_formula_sum 'Ca2 Al22 Cr2'
_symmetry_space_group_name_H-M 'C 1 2/m 1'
_symmetry_Int_Tables_number 12
_symmetry_space_group_name_Hall '-C 2y'
_cell_length_a 5.247
_cell_length_b 12.888
_cell_length_c 7.066
_cell_angle_alpha 90.00
_cell_angle_beta 111.08
_cell_angle_gamma 90.00
loop_
_atom_site_label
_atom_site_fract_x
_atom_site_fract_y
_atom_site_fract_z
Ca1 0.000 0.000 0.000
Al1 0.000 0.000 0.500
Al2 0.102 0.393 0.223
Al3 0.198 0.172 0.364
Al4 0.250 0.250 0.000
Cr1 0.000 0.500 0.500
# - crystal system = monoclinic
# - total moment (μB/cell) = 0.0
# - E_form (meV per atom) = -114
# - theoretical density (g/cm³) = 2.90

6.
# Mg3TiZn, optimized geometry, DFT PBE-GGA
data_Mg3TiZn
_chemical_formula_sum 'Mg3 Ti1 Zn1'
_symmetry_space_group_name_H-M 'P m -3 m'
_symmetry_Int_Tables_number 221
_symmetry_space_group_name_Hall '-P 4 2 3'
_cell_length_a 5.476
_cell_length_b 5.476
_cell_length_c 5.476
_cell_angle_alpha 90.00
_cell_angle_beta 90.00
_cell_angle_gamma 90.00
loop_
_atom_site_label
_atom_site_fract_x
_atom_site_fract_y
_atom_site_fract_z
Mg1 0.000 0.000 0.500
Ti1 0.000 0.000 0.000
Zn1 0.500 0.500 0.500
# - excess energy over the best structure of this formula in the dataset (eV per atom) = 0.5225
# - crystal system = cubic
# - total moment (μB/cell) = 3.4
# - E_form (meV per atom) = 1055
# - theoretical density (g/cm³) = 1.88

7.
# LiH2PtF, optimized geometry, DFT PBE-GGA
data_LiH2PtF
_chemical_formula_sum 'Li1 H2 Pt1 F1'
_symmetry_space_group_name_H-M 'P 4/m m m'
_symmetry_Int_Tables_number 123
_symmetry_space_group_name_Hall '-P 4 2'
_cell_length_a 3.822
_cell_length_b 3.822
_cell_length_c 3.178
_cell_angle_alpha 90.00
_cell_angle_beta 90.00
_cell_angle_gamma 90.00
loop_
_atom_site_label
_atom_site_fract_x
_atom_site_fract_y
_atom_site_fract_z
Li1 0.000 0.000 0.000
H1 0.000 0.500 0.500
Pt1 0.500 0.500 0.000
F1 0.000 0.000 0.500
# - crystal system = tetragonal
# - electronic total energy (eV/f.u.) = -16.26
# - total moment (μB/cell) = 0.0
# - theoretical density (g/cm³) = 7.98

8.
# La5NbN6, optimized geometry, DFT PBE-GGA
data_La5NbN6
_chemical_formula_sum 'La10 Nb2 N12'
_symmetry_space_group_name_H-M 'C 1 2/m 1'
_symmetry_Int_Tables_number 12
_symmetry_space_group_name_Hall '-C 2y'
_cell_length_a 6.267
_cell_length_b 10.873
_cell_length_c 6.217
_cell_angle_alpha 90.00
_cell_angle_beta 109.37
_cell_angle_gamma 90.00
loop_
_atom_site_label
_atom_site_fract_x
_atom_site_fract_y
_atom_site_fract_z
La1 0.000 0.000 0.000
La2 0.000 0.167 0.500
La3 0.000 0.338 0.000
Nb1 0.000 0.500 0.500
N1 0.218 0.500 0.268
N2 0.219 0.356 0.720
# - crystal system = monoclinic
# - total moment (μB/cell) = 0.0
# - theoretical density (g/cm³) = 7.24
# - uncorrected formation energy (eV per atom) = -1.26

9.
# InHg3Sb, optimized geometry, DFT PBE-GGA
data_InHg3Sb
_chemical_formula_sum 'In1 Hg3 Sb1'
_symmetry_space_group_name_H-M 'P m -3 m'
_symmetry_Int_Tables_number 221
_symmetry_space_group_name_Hall '-P 4 2 3'
_cell_length_a 5.683
_cell_length_b 5.683
_cell_length_c 5.683
_cell_angle_alpha 90.00
_cell_angle_beta 90.00
_cell_angle_gamma 90.00
loop_
_atom_site_label
_atom_site_fract_x
_atom_site_fract_y
_atom_site_fract_z
In1 0.000 0.000 0.000
Hg1 0.000 0.500 0.500
Sb1 0.500 0.500 0.500
# - excess energy over the best structure of this formula in the dataset (eV per atom) = 0.0000
# - crystal system = cubic
# - total moment (μB/cell) = 0.0
# - theoretical density (g/cm³) = 7.59
# - uncorrected formation energy (eV per atom) = 0.29